[1]
{
  "formula": "Mg5TlZn2",
  "functional": "PBE-GGA",
  "state": "optimized geometry",
  "rho_g_cm3": 4.5,
  "total_magnetization_mub_per_cell": 0.00,
  "ef_mev_per_atom": -50,
  "energy_ev_per_atom": -1.66,
  "lattice": [[-3.6081, 3.6081, 6.5394], [3.6081, -3.6081, 6.5394], [3.6081, 3.6081, -6.5394]],
  "species": ["Mg", "Mg", "Mg", "Mg", "Mg", "Mg", "Mg", "Mg", "Mg", "Mg", "Tl", "Tl", "Zn", "Zn", "Zn", "Zn"],
  "frac_coords": [[0.0000, 0.0000, 0.0000], [0.0153, 0.5153, 0.8217], [0.1936, 0.0153, 0.5000], [0.3064, 0.8064, 0.8217], [0.4847, 0.3064, 0.5000], [0.5000, 0.5000, 0.0000], [0.5153, 0.6936, 0.5000], [0.6936, 0.1936, 0.1783], [0.8064, 0.9847, 0.5000], [0.9847, 0.4847, 0.1783], [0.2500, 0.2500, 0.0000], [0.7500, 0.7500, 0.0000], [0.1300, 0.3700, 0.5000], [0.3700, 0.8700, 0.2400], [0.6300, 0.1300, 0.7600], [0.8700, 0.6300, 0.5000]]
}

***

[2]
{
  "formula": "MgTl2Zn",
  "functional": "PBE-GGA",
  "state": "optimized geometry",
  "rho_g_cm3": 8.3,
  "total_magnetization_mub_per_cell": 0.00,
  "ef_mev_per_atom": 106,
  "energy_ev_per_atom": -1.79,
  "lattice": [[3.3666, 0.0000, 0.0000], [0.0000, 4.8423, 0.0000], [-1.0161, 0.0000, 6.1435]],
  "species": ["Mg", "Tl", "Tl", "Zn"],
  "frac_coords": [[0.0000, 0.0000, 0.0000], [0.3133, 0.5000, 0.7399], [0.6867, 0.5000, 0.2601], [0.5000, 0.0000, 0.5000]]
}

***

[3]
{
  "formula": "MgTl2Zn",
  "functional": "PBE-GGA",
  "state": "optimized geometry",
  "rho_g_cm3": 8.5,
  "total_magnetization_mub_per_cell": 0.00,
  "ef_mev_per_atom": 86,
  "energy_ev_per_atom": -1.81,
  "lattice": [[4.9522, -1.6989, 0.0000], [4.9522, 1.6989, 0.0000], [-1.3364, 0.0000, 5.8166]],
  "species": ["Mg", "Tl", "Tl", "Zn"],
  "frac_coords": [[0.0000, 0.0000, 0.0000], [0.2436, 0.2436, 0.7411], [0.7564, 0.7564, 0.2589], [0.5000, 0.5000, 0.5000]]
}

***

[4]
{
  "formula": "Mg6TlZn6",
  "functional": "PBE-GGA",
  "state": "optimized geometry",
  "rho_g_cm3": 4.9,
  "total_magnetization_mub_per_cell": 0.00,
  "ef_mev_per_atom": -49,
  "energy_ev_per_atom": -1.56,
  "lattice": [[-2.7039, 4.6768, 4.9776], [2.7039, -4.6768, 4.9776], [2.7039, 4.6768, -4.9776]],
  "species": ["Mg", "Mg", "Mg", "Mg", "Mg", "Mg", "Tl", "Zn", "Zn", "Zn", "Zn", "Zn", "Zn"],
  "frac_coords": [[0.1518, 0.1518, 0.0000], [0.1583, 0.5000, 0.6583], [0.3234, 0.0000, 0.3234], [0.6766, 0.0000, 0.6766], [0.8417, 0.5000, 0.3417], [0.8482, 0.8482, 0.0000], [0.5000, 0.5000, 0.0000], [0.0000, 0.0000, 0.5000], [0.0000, 0.5000, 0.0000], [0.2563, 0.7563, 0.5000], [0.5000, 0.0000, 0.0000], [0.5000, 0.5000, 0.5000], [0.7437, 0.2437, 0.5000]]
}

***

[5]
{
  "formula": "Mg2TlZn",
  "functional": "PBE-GGA",
  "state": "optimized geometry",
  "rho_g_cm3": 6.1,
  "total_magnetization_mub_per_cell": 0.00,
  "ef_mev_per_atom": 0,
  "energy_ev_per_atom": -1.71,
  "lattice": [[3.3994, -3.8984, 0.0000], [3.3994, 3.8984, 0.0000], [-0.0388, 0.0000, 3.2676]],
  "species": ["Mg", "Mg", "Tl", "Zn"],
  "frac_coords": [[0.0000, 0.5000, 0.0000], [0.5000, 0.0000, 0.0000], [0.0000, 0.0000, 0.5000], [0.5000, 0.5000, 0.5000]]
}

***

[6]
{
  "formula": "MgTl2Zn",
  "functional": "PBE-GGA",
  "state": "optimized geometry",
  "rho_g_cm3": 8.4,
  "total_magnetization_mub_per_cell": 0.00,
  "ef_mev_per_atom": 64,
  "energy_ev_per_atom": -1.84,
  "lattice": [[3.6714, 0.0000, 0.0000], [0.0000, 4.7471, 0.0000], [-1.5773, 0.0000, 5.6613]],
  "species": ["Mg", "Tl", "Tl", "Zn"],
  "frac_coords": [[0.0000, 0.0000, 0.0000], [0.2969, 0.0000, 0.5425], [0.5847, 0.5000, 0.1763], [0.8728, 0.5000, 0.7071]]
}

***

[7]
{
  "formula": "MgTl3Zn",
  "functional": "PBE-GGA",
  "state": "optimized geometry",
  "rho_g_cm3": 6.8,
  "total_magnetization_mub_per_cell": 0.00,
  "ef_mev_per_atom": 381,
  "energy_ev_per_atom": -1.61,
  "lattice": [[5.5561, 0.0000, 0.0000], [0.0000, 5.5561, 0.0000], [0.0000, 0.0000, 5.5561]],
  "species": ["Mg", "Tl", "Tl", "Tl", "Zn"],
  "frac_coords": [[0.0000, 0.0000, 0.0000], [0.0000, 0.0000, 0.5000], [0.0000, 0.5000, 0.0000], [0.5000, 0.0000, 0.0000], [0.5000, 0.5000, 0.5000]]
}

***

[8]
{
  "formula": "MgTl2Zn",
  "functional": "PBE-GGA",
  "state": "optimized geometry",
  "rho_g_cm3": 8.5,
  "total_magnetization_mub_per_cell": 0.00,
  "ef_mev_per_atom": 94,
  "energy_ev_per_atom": -1.81,
  "lattice": [[-2.1992, 2.1992, 5.0617], [2.1992, -2.1992, 5.0617], [2.1992, 2.1992, -5.0617]],
  "species": ["Mg", "Tl", "Tl", "Zn"],
  "frac_coords": [[0.0000, 0.0000, 0.0000], [0.2500, 0.7500, 0.5000], [0.5000, 0.5000, 0.0000], [0.7500, 0.2500, 0.5000]]
}